First-principles (GGA-PBE) data for Tb4SnPd2 after structural relaxation, as listed in Alexandria.

a b c (Å): 9.456 8.083 8.051
angles (deg): 71.76 54.28 53.96
Element x y z (fractional)
Tb  0.135  0.295  0.299
Tb  0.229  0.701  0.705
Tb  0.295  0.135  0.771
Tb  0.299  0.771  0.135
Tb  0.701  0.229  0.865
Tb  0.705  0.865  0.229
Tb  0.771  0.299  0.295
Tb  0.865  0.705  0.701
Sn  0.375  0.375  0.375
Sn  0.625  0.625  0.625
Pd  0.000  0.000  0.000
Pd  0.000  0.000  0.500
Pd  0.000  0.500  0.000
Pd  0.500  0.000  0.000

Output
The total magnetization is 0.001 μB/f.u. The calculation puts the total energy at -5.2448 eV/atom. Its crystal system is orthorhombic.